The following is a DFT calculation (PBE) of a relaxed structure of Y2AgPt. Values from VASP.

Summary:
Its total magnetization is 0.000 μB per cell. The calculation puts the uncorrected energy at -73.5 eV for the cell shown. As for the volume: 104 Å³/f.u. Its formation enthalpy at 0 K is -668 meV per atom.

Quantum ESPRESSO input file:
```
&SYSTEM
  ibrav = 0, nat = 12, ntyp = 3
/
ATOMIC_SPECIES
Y 88.91 Y.upf
Ag 107.87 Ag.upf
Pt 195.08 Pt.upf
ATOMIC_POSITIONS angstrom
Y 0.000 0.000 0.000
Y 0.000 0.000 4.009
Y 0.000 2.376 14.226
Y 0.000 2.376 18.235
Y 2.058 1.188 7.113
Y 2.058 1.188 11.122
Ag 0.000 0.000 9.157
Ag 0.000 2.376 2.044
Ag 2.058 1.188 16.270
Pt 0.000 0.000 12.652
Pt 0.000 2.376 5.539
Pt 2.058 1.188 19.765
CELL_PARAMETERS angstrom
4.116 0.000 0.000
-2.058 3.564 0.000
0.000 0.000 21.340
```



The following is a DFT calculation (PBE) of a relaxed structure of Y2AgPt. Values from VASP.

Summary:
Its total magnetization is 0.000 μB per cell. The calculation puts the uncorrected energy at -93.2 eV for the cell shown. As for the volume: 105 Å³/f.u. Its formation enthalpy at 0 K is -368 meV per atom.

Quantum ESPRESSO input file:
```
&SYSTEM
  ibrav = 0, nat = 16, ntyp = 3
/
ATOMIC_SPECIES
Y 88.91 Y.upf
Ag 107.87 Ag.upf
Pt 195.08 Pt.upf
ATOMIC_POSITIONS angstrom
Y 1.746 5.753 0.894
Y 1.918 1.746 6.258
Y 1.918 2.089 2.682
Y 2.089 5.753 4.470
Y 5.581 1.918 4.470
Y 5.753 5.581 2.682
Y 5.753 5.924 6.258
Y 5.924 1.918 0.894
Ag 0.000 0.000 3.576
Ag 0.000 3.835 5.364
Ag 3.835 0.000 1.788
Ag 3.835 3.835 0.000
Pt 0.000 0.000 0.000
Pt 0.000 3.835 1.788
Pt 3.835 0.000 5.364
Pt 3.835 3.835 3.576
CELL_PARAMETERS angstrom
7.670 0.000 0.000
0.000 7.670 0.000
0.000 0.000 7.152
```



The following is a DFT calculation (PBE) of a relaxed structure of YAg2Pt. Values from VASP.

Summary:
Its total magnetization is 0.000 μB per cell. The calculation puts the uncorrected energy at -80.8 eV for the cell shown. As for the volume: 79 Å³/f.u. The value obtained for the relative energy among the computed polymorphs is 59.2 meV per atom. Its formation enthalpy at 0 K is -498 meV per atom.

Quantum ESPRESSO input file:
```
&SYSTEM
  ibrav = 0, nat = 16, ntyp = 3
/
ATOMIC_SPECIES
Y 88.91 Y.upf
Ag 107.87 Ag.upf
Pt 195.08 Pt.upf
ATOMIC_POSITIONS angstrom
Y 0.000 0.000 0.000
Y 0.000 3.203 3.887
Y 3.162 0.000 3.887
Y 3.162 3.203 0.000
Ag 0.000 0.000 3.887
Ag 0.000 3.203 0.000
Ag 1.581 1.601 1.944
Ag 1.581 4.804 5.831
Ag 3.162 0.000 0.000
Ag 3.162 3.203 3.887
Ag 4.744 1.601 5.831
Ag 4.744 4.804 1.944
Pt 1.581 1.601 5.831
Pt 1.581 4.804 1.944
Pt 4.744 1.601 1.944
Pt 4.744 4.804 5.831
CELL_PARAMETERS angstrom
6.325 0.000 0.000
0.000 6.406 0.000
0.000 0.000 7.774
```



The following is a DFT calculation (PBE) of a relaxed structure of YAg2Pt. Values from VASP.

Summary:
Its total magnetization is 0.000 μB per cell. The calculation puts the uncorrected energy at -53.2 eV for the cell shown. As for the volume: 79 Å³/f.u. The value obtained for the relative energy among the computed polymorphs is 673.3 meV per atom. Its formation enthalpy at 0 K is 116 meV per atom.

Quantum ESPRESSO input file:
```
&SYSTEM
  ibrav = 0, nat = 12, ntyp = 3
/
ATOMIC_SPECIES
Y 88.91 Y.upf
Ag 107.87 Ag.upf
Pt 195.08 Pt.upf
ATOMIC_POSITIONS angstrom
Y 0.000 0.000 0.000
Y 0.000 1.754 19.642
Y 1.519 0.877 9.821
Ag 0.000 0.000 7.199
Ag 0.000 0.000 22.264
Ag 0.000 1.754 12.443
Ag 0.000 1.754 26.840
Ag 1.519 0.877 2.622
Ag 1.519 0.877 17.019
Pt 0.000 0.000 14.731
Pt 0.000 1.754 4.910
Pt 1.519 0.877 24.552
CELL_PARAMETERS angstrom
3.038 0.000 0.000
-1.519 2.631 0.000
0.000 0.000 29.463
```



The following is a DFT calculation (PBE) of a relaxed structure of Y5AgPt2. Values from VASP.

Summary:
Its total magnetization is 0.003 μB per cell. The calculation puts the uncorrected energy at -106.7 eV for the cell shown. As for the volume: 205 Å³/f.u. Its formation enthalpy at 0 K is -763 meV per atom.

Quantum ESPRESSO input file:
```
&SYSTEM
  ibrav = 0, nat = 16, ntyp = 3
/
ATOMIC_SPECIES
Y 88.91 Y.upf
Ag 107.87 Ag.upf
Pt 195.08 Pt.upf
ATOMIC_POSITIONS angstrom
Y 0.000 0.000 0.000
Y 5.184 1.259 -1.844
Y 1.259 2.667 -1.844
Y 5.184 1.259 1.844
Y 1.259 2.667 1.844
Y 0.000 0.000 6.641
Y 2.667 1.259 4.797
Y -1.259 2.667 4.797
Y 2.667 1.259 8.486
Y -1.259 2.667 8.486
Ag 0.000 0.000 3.321
Ag 0.000 0.000 9.962
Pt 2.855 1.071 0.000
Pt 2.855 -1.071 6.641
Pt 1.071 4.997 0.000
Pt 1.071 2.855 6.641
CELL_PARAMETERS angstrom
-3.926 3.926 6.641
3.926 -3.926 6.641
3.926 3.926 -6.641
```



The following is a DFT calculation (PBE) of a relaxed structure of YAg3Pt. Values from VASP.

Summary:
Its total magnetization is 0.000 μB per cell. The calculation puts the uncorrected energy at -13.8 eV for the cell shown. As for the volume: 144 Å³/f.u. The value obtained for the relative energy among the computed polymorphs is 1081.2 meV per atom. Its formation enthalpy at 0 K is 1442 meV per atom.

Quantum ESPRESSO input file:
```
&SYSTEM
  ibrav = 0, nat = 5, ntyp = 3
/
ATOMIC_SPECIES
Y 88.91 Y.upf
Ag 107.87 Ag.upf
Pt 195.08 Pt.upf
ATOMIC_POSITIONS angstrom
Y 0.000 0.000 0.000
Ag 0.000 0.000 2.624
Ag 0.000 2.624 0.000
Ag 2.624 0.000 0.000
Pt 2.624 2.624 2.624
CELL_PARAMETERS angstrom
5.247 0.000 0.000
0.000 5.247 0.000
0.000 0.000 5.247
```



The following is a DFT calculation (PBE) of a relaxed structure of Y8Ag2Pt. Values from VASP.

Summary:
Its total magnetization is 0.000 μB per cell. The calculation puts the uncorrected energy at -66.5 eV for the cell shown. As for the volume: 318 Å³/f.u. The value obtained for the relative energy among the computed polymorphs is 56.3 meV per atom. Its formation enthalpy at 0 K is -274 meV per atom.

Quantum ESPRESSO input file:
```
&SYSTEM
  ibrav = 0, nat = 11, ntyp = 3
/
ATOMIC_SPECIES
Y 88.91 Y.upf
Ag 107.87 Ag.upf
Pt 195.08 Pt.upf
ATOMIC_POSITIONS angstrom
Y 0.000 0.000 0.000
Y 2.088 6.307 2.770
Y 2.775 1.902 0.972
Y 1.281 0.000 3.439
Y 2.711 3.231 4.511
Y 2.775 -1.902 0.972
Y 2.088 -6.307 2.770
Y 2.711 -3.231 4.511
Ag 0.587 3.753 1.928
Ag 0.587 -3.753 1.928
Pt 4.867 0.000 0.985
CELL_PARAMETERS angstrom
3.705 -8.273 0.000
3.705 8.273 0.000
-3.151 0.000 5.179
```



The following is a DFT calculation (PBE) of a relaxed structure of Y5Ag2Pt. Values from VASP.

Summary:
Its total magnetization is 0.000 μB per cell. The calculation puts the uncorrected energy at -95.8 eV for the cell shown. As for the volume: 208 Å³/f.u. Its formation enthalpy at 0 K is -481 meV per atom.

Quantum ESPRESSO input file:
```
&SYSTEM
  ibrav = 0, nat = 16, ntyp = 3
/
ATOMIC_SPECIES
Y 88.91 Y.upf
Ag 107.87 Ag.upf
Pt 195.08 Pt.upf
ATOMIC_POSITIONS angstrom
Y 0.000 0.000 0.000
Y 1.039 3.496 0.000
Y 1.191 7.180 2.485
Y 2.262 1.117 2.485
Y 2.414 9.559 0.000
Y 3.453 6.063 0.000
Y 4.493 2.567 0.000
Y 4.644 11.009 2.485
Y 5.715 4.946 2.485
Y 5.867 8.630 0.000
Ag 0.601 10.251 2.485
Ag 2.852 4.188 2.485
Ag 4.054 7.938 2.485
Ag 6.305 1.875 2.485
Pt 0.000 6.063 0.000
Pt 3.453 0.000 0.000
CELL_PARAMETERS angstrom
6.906 0.000 0.000
0.000 12.126 0.000
0.000 0.000 4.969
```